1.
This record from Alexandria describes Pa2Ga3Tc after structural relaxation. The functional is PBE-GGA.

Cell lengths 3.4297, 4.5167, 7.7307 Å; angles 90.00, 90.00, 90.00 degrees
Last column: nearest neighbours and their distance in Å.
Positions (direct):
Pa (0.0000, 0.0000, 0.0000)  2 Tc 2.92, 10 Ga 3.03-3.24
Pa (0.0000, 0.5000, 0.4562)  8 Ga 3.01-3.20, 4 Tc 3.06
Ga (0.5000, 0.0000, 0.6440)  2 Ga 2.58, 1 Tc 2.61
Ga (0.5000, 0.5000, 0.1367)  1 Ga 2.56, 2 Tc 2.61
Ga (0.5000, 0.5000, 0.8057)  3 Ga 2.56-2.58
Tc (0.5000, 0.0000, 0.3061)  3 Ga 2.61, 2 Pa 2.92

=====

2.
This record from Alexandria describes Pa6GaTc2 after structural relaxation. The functional is PBE-GGA.

Cell lengths 5.8668, 7.6708, 10.8613 Å; angles 90.00, 121.50, 90.00 degrees
Last column: nearest neighbours and their distance in Å.
Positions (direct):
Pa (0.0705, 0.1238, 0.2251)  1 Pa 2.82, 1 Ga 2.88, 2 Tc 3.06-3.10
Pa (0.0705, 0.3762, 0.7251)  1 Pa 2.82, 1 Ga 2.88, 2 Tc 3.06-3.10
Pa (0.1690, 0.7314, 0.0544)  2 Tc 2.70-3.01, 2 Pa 2.82-3.00, 1 Ga 2.91
Pa (0.1690, 0.7686, 0.5544)  2 Tc 2.70-3.01, 2 Pa 2.82-3.00, 1 Ga 2.91
Pa (0.3885, 0.1465, 0.0473)  1 Tc 2.49
Pa (0.3885, 0.3535, 0.5473)  1 Tc 2.49
Pa (0.6115, 0.6465, 0.4527)  1 Tc 2.49
Pa (0.6115, 0.8535, 0.9527)  1 Tc 2.49
Pa (0.8310, 0.2314, 0.4456)  2 Tc 2.70-3.01, 2 Pa 2.82-3.00, 1 Ga 2.91
Pa (0.8310, 0.2686, 0.9456)  2 Tc 2.70-3.01, 2 Pa 2.82-3.00, 1 Ga 2.91
Pa (0.9295, 0.6238, 0.2749)  1 Pa 2.82, 1 Ga 2.88, 2 Tc 3.06-3.10
Pa (0.9295, 0.8762, 0.7749)  1 Pa 2.82, 1 Ga 2.88, 2 Tc 3.06-3.10
Ga (0.5000, 0.0000, 0.5000)  6 Pa 2.88-2.91, 2 Tc 3.06
Ga (0.5000, 0.5000, 0.0000)  6 Pa 2.88-2.91, 2 Tc 3.06
Tc (0.3687, 0.0437, 0.7365)  2 Pa 2.49-2.70
Tc (0.3687, 0.4563, 0.2365)  2 Pa 2.49-2.70
Tc (0.6313, 0.5437, 0.7635)  2 Pa 2.49-2.70
Tc (0.6313, 0.9563, 0.2635)  2 Pa 2.49-2.70

=====

3.
This record from Alexandria describes Pa2Ga3Tc5 after structural relaxation. The functional is PBE-GGA.

Cell lengths 8.7331, 8.7331, 8.7331 Å; angles 100.60, 89.75, 145.13 degrees
Last column: nearest neighbours and their distance in Å.
Positions (direct):
Pa (0.2181, 0.1316, 0.3497)  3 Tc 2.74-3.06, 1 Ga 3.02
Pa (0.2819, 0.6316, 0.9134)  3 Tc 2.74-3.06, 1 Ga 3.02
Pa (0.7181, 0.3684, 0.0866)  3 Tc 2.74-3.06, 1 Ga 3.02
Pa (0.7819, 0.8684, 0.6503)  3 Tc 2.74-3.06, 1 Ga 3.02
Ga (0.1460, 0.3898, 0.5358)  5 Tc 2.52-2.66
Ga (0.2500, 0.2500, 0.0000)  2 Ga 2.62, 6 Tc 2.74-2.91
Ga (0.3540, 0.8898, 0.2438)  5 Tc 2.52-2.66
Ga (0.6460, 0.1102, 0.7562)  5 Tc 2.52-2.66
Ga (0.7500, 0.7500, 0.0000)  2 Ga 2.62, 6 Tc 2.74-2.91
Ga (0.8540, 0.6102, 0.4642)  5 Tc 2.52-2.66
Tc (0.1519, 0.8653, 0.0172)  3 Ga 2.52-2.74, 2 Tc 2.69, 2 Pa 2.74
Tc (0.2500, 0.5105, 0.2605)  5 Tc 2.62-2.69, 3 Ga 2.66-2.91
Tc (0.2500, 0.7500, 0.5000)  4 Ga 2.55, 4 Tc 2.62-2.67
Tc (0.2500, 0.9895, 0.7395)  5 Tc 2.62-2.69, 3 Ga 2.66-2.91
Tc (0.3481, 0.3653, 0.7134)  3 Ga 2.52-2.74, 2 Tc 2.69, 2 Pa 2.74
Tc (0.6519, 0.6347, 0.2866)  3 Ga 2.52-2.74, 2 Tc 2.69, 2 Pa 2.74
Tc (0.7500, 0.0105, 0.2605)  5 Tc 2.62-2.69, 3 Ga 2.66-2.91
Tc (0.7500, 0.2500, 0.5000)  4 Ga 2.55, 4 Tc 2.62-2.67
Tc (0.7500, 0.4895, 0.7395)  5 Tc 2.62-2.69, 3 Ga 2.66-2.91
Tc (0.8481, 0.1347, 0.9828)  3 Ga 2.52-2.74, 2 Tc 2.69, 2 Pa 2.74

=====

4.
This record from Alexandria describes Pa2GaTc2 after structural relaxation. The functional is PBE-GGA.

Cell lengths 5.2957, 5.2957, 5.2957 Å; angles 130.65, 112.19, 88.33 degrees
Last column: nearest neighbours and their distance in Å.
Positions (direct):
Pa (0.1920, 0.1920, 0.0000)  6 Tc 2.75-3.04, 1 Pa 2.92
Pa (0.8080, 0.8080, 0.0000)  6 Tc 2.75-3.04, 1 Pa 2.92
Ga (0.5000, 0.0000, 0.5000)  4 Tc 2.65
Tc (0.2541, 0.5000, 0.7541)  2 Ga 2.65, 2 Pa 2.75, 1 Tc 2.91
Tc (0.7459, 0.5000, 0.2459)  2 Ga 2.65, 2 Pa 2.75, 1 Tc 2.91

=====

5.
This record from Alexandria describes ThPaGaTc after structural relaxation. The functional is PBE-GGA.

Cell lengths 5.0312, 5.0312, 5.0312 Å; angles 60.00, 60.00, 60.00 degrees
Last column: nearest neighbours and their distance in Å.
Positions (direct):
Th (0.0000, 0.0000, 0.0000)  4 Ga 3.08, 4 Tc 3.08
Pa (0.5000, 0.5000, 0.5000)  4 Tc 3.08, 4 Ga 3.08
Ga (0.7500, 0.7500, 0.7500)  4 Pa 3.08, 4 Th 3.08
Tc (0.2500, 0.2500, 0.2500)  4 Th 3.08, 4 Pa 3.08

=====

6.
This record from Alexandria describes PaTiGaTc after structural relaxation. The functional is PBE-GGA.

Cell lengths 4.6244, 4.6244, 4.6244 Å; angles 60.00, 60.00, 60.00 degrees
Last column: nearest neighbours and their distance in Å.
Positions (direct):
Pa (0.0000, 0.0000, 0.0000)  4 Ti 2.83, 4 Tc 2.83
Ti (0.7500, 0.7500, 0.7500)  4 Pa 2.83, 4 Ga 2.83
Ga (0.5000, 0.5000, 0.5000)  4 Tc 2.83, 4 Ti 2.83
Tc (0.2500, 0.2500, 0.2500)  4 Pa 2.83, 4 Ga 2.83

=====

7.
This record from Alexandria describes TmPaGaTc after structural relaxation. The functional is PBE-GGA.

Cell lengths 4.9196, 4.9196, 4.9196 Å; angles 60.00, 60.00, 60.00 degrees
Last column: nearest neighbours and their distance in Å.
Positions (direct):
Tm (0.0000, 0.0000, 0.0000)  4 Tc 3.01, 4 Ga 3.01
Pa (0.5000, 0.5000, 0.5000)  4 Ga 3.01, 4 Tc 3.01
Ga (0.2500, 0.2500, 0.2500)  4 Pa 3.01, 4 Tm 3.01
Tc (0.7500, 0.7500, 0.7500)  4 Pa 3.01, 4 Tm 3.01

=====

8.
This record from Alexandria describes PaVGaTc after structural relaxation. The functional is PBE-GGA.

Cell lengths 4.5646, 4.5646, 4.5646 Å; angles 60.00, 60.00, 60.00 degrees
Last column: nearest neighbours and their distance in Å.
Positions (direct):
Pa (0.0000, 0.0000, 0.0000)  4 Tc 2.80, 4 V 2.80
V (0.7500, 0.7500, 0.7500)  4 Pa 2.80, 4 Ga 2.80
Ga (0.5000, 0.5000, 0.5000)  4 Tc 2.80, 4 V 2.80
Tc (0.2500, 0.2500, 0.2500)  4 Pa 2.80, 4 Ga 2.80

=====

The records above give, respectively, energy relative to the elements values of -0.363, 0.020, -0.120, -0.339, -0.093, -0.293, -0.203, -0.178 eV/atom.
The records above give, respectively, size of the total moment values of 0.000, 0.000, 0.000, 0.000, 0.003, 0.395, 0.000, 0.001 Bohr magnetons per cell.